# 1
Be2CoHI | GGA-PBEsol | relaxed

Output
- N(E_F): 2.81 states/eV/f.u.
- DFT total energy: -17.0 eV for the cell shown

The structure in CIF format:
```
data_Be2CoHI
_chemical_formula_sum 'Be2 Co1 H1 I1'
_symmetry_space_group_name_H-M 'P 1'
_symmetry_Int_Tables_number 1
_cell_length_a 3.331
_cell_length_b 4.110
_cell_length_c 4.110
_cell_angle_alpha 90.00
_cell_angle_beta 90.00
_cell_angle_gamma 90.00
loop_
_symmetry_equiv_pos_as_xyz
'x,y,z'
loop_
_atom_site_label
_atom_site_type_symbol
_atom_site_fract_x
_atom_site_fract_y
_atom_site_fract_z
I1 I 0.500 0.500 0.500
Be1 Be 0.000 0.000 0.500
Be2 Be 0.000 0.500 0.000
Co1 Co 0.500 0.000 0.000
H1 H 0.000 0.000 0.000
```

---

# 2
CaYPb2 | GGA-PBEsol | relaxed

Output
- N(E_F): 2.67 states/eV/f.u.
- E_form: -0.55 eV/atom

The structure in CIF format:
```
data_CaYPb2
_chemical_formula_sum 'Ca1 Y1 Pb2'
_symmetry_space_group_name_H-M 'P 1'
_symmetry_Int_Tables_number 1
_cell_length_a 3.534
_cell_length_b 4.376
_cell_length_c 7.180
_cell_angle_alpha 90.00
_cell_angle_beta 90.00
_cell_angle_gamma 90.00
loop_
_symmetry_equiv_pos_as_xyz
'x,y,z'
loop_
_atom_site_label
_atom_site_type_symbol
_atom_site_fract_x
_atom_site_fract_y
_atom_site_fract_z
Pb1 Pb 0.000 0.000 0.758
Pb2 Pb 0.000 0.000 0.242
Y1 Y 0.500 0.500 0.000
Ca1 Ca 0.500 0.500 0.500
```

---

# 3
KTcN2 | GGA-PBEsol | relaxed

Output
- N(E_F): 1.86 states/eV/f.u.
- Raw formation energy: -109 kJ/mol of formula units

The structure in CIF format:
```
data_KTcN2
_chemical_formula_sum 'K2 Tc2 N4'
_symmetry_space_group_name_H-M 'P 1'
_symmetry_Int_Tables_number 1
_cell_length_a 5.633
_cell_length_b 5.900
_cell_length_c 5.633
_cell_angle_alpha 61.49
_cell_angle_beta 90.00
_cell_angle_gamma 118.51
loop_
_symmetry_equiv_pos_as_xyz
'x,y,z'
loop_
_atom_site_label
_atom_site_type_symbol
_atom_site_fract_x
_atom_site_fract_y
_atom_site_fract_z
K1 K 0.250 0.500 0.250
K2 K 0.500 0.000 0.500
Tc1 Tc 0.750 0.500 0.750
Tc2 Tc 0.000 0.000 0.000
N1 N 0.786 0.750 0.375
N2 N 0.964 0.750 0.875
N3 N 0.875 0.250 0.786
N4 N 0.375 0.250 0.964
```

---

# 4
TaAlIn2 | GGA-PBEsol | relaxed

Output
- N(E_F): 1.56 states/eV/f.u.
- E_form: 0.12 eV/atom

The structure in CIF format:
```
data_TaAlIn2
_chemical_formula_sum 'Ta1 Al1 In2'
_symmetry_space_group_name_H-M 'P 1'
_symmetry_Int_Tables_number 1
_cell_length_a 2.960
_cell_length_b 4.984
_cell_length_c 5.198
_cell_angle_alpha 90.00
_cell_angle_beta 90.00
_cell_angle_gamma 90.00
loop_
_symmetry_equiv_pos_as_xyz
'x,y,z'
loop_
_atom_site_label
_atom_site_type_symbol
_atom_site_fract_x
_atom_site_fract_y
_atom_site_fract_z
In1 In 0.875 0.000 0.037
In2 In 0.875 0.500 0.710
Al1 Al 0.375 0.500 0.231
Ta1 Ta 0.375 0.000 0.522
```

---

# 5
KTlSi2 | GGA-PBEsol | relaxed

Output
- N(E_F): 3.18 states/eV/f.u.
- Raw formation energy: 228 kJ/mol of formula units

The structure in CIF format:
```
data_KTlSi2
_chemical_formula_sum 'K1 Tl1 Si2'
_symmetry_space_group_name_H-M 'P 1'
_symmetry_Int_Tables_number 1
_cell_length_a 3.097
_cell_length_b 3.097
_cell_length_c 9.674
_cell_angle_alpha 90.00
_cell_angle_beta 90.00
_cell_angle_gamma 90.00
loop_
_symmetry_equiv_pos_as_xyz
'x,y,z'
loop_
_atom_site_label
_atom_site_type_symbol
_atom_site_fract_x
_atom_site_fract_y
_atom_site_fract_z
K1 K 0.500 0.500 0.500
Si1 Si 0.000 0.000 0.768
Si2 Si 0.000 0.000 0.232
Tl1 Tl 0.500 0.500 0.000
```

---

# 6
K3InTe | GGA-PBEsol | relaxed

Output
- N(E_F): 3.19 states/eV/f.u.
- Raw formation energy: -117 kJ/mol of formula units

The structure in CIF format:
```
data_K3InTe
_chemical_formula_sum 'K3 In1 Te1'
_symmetry_space_group_name_H-M 'P 1'
_symmetry_Int_Tables_number 1
_cell_length_a 6.535
_cell_length_b 6.535
_cell_length_c 6.535
_cell_angle_alpha 90.00
_cell_angle_beta 90.00
_cell_angle_gamma 90.00
loop_
_symmetry_equiv_pos_as_xyz
'x,y,z'
loop_
_atom_site_label
_atom_site_type_symbol
_atom_site_fract_x
_atom_site_fract_y
_atom_site_fract_z
K1 K 0.000 0.500 0.000
K2 K 0.000 0.000 0.500
K3 K 0.500 0.000 0.000
Te1 Te 0.000 0.000 0.000
In1 In 0.500 0.500 0.500
```

---

no.,total moment (μB/atom)
1,0.000
2,0.001
3,0.000
4,0.000
5,0.000
6,0.382